Computed, not measured: crystalline Ac2CrTe2O2 at its relaxed geometry at the GGA+U level of DFT.

Space-group type   I4/mmm, No. 139
Total energy   -45.96 eV/cell

Unit cell a=4.306 b=4.306 c=9.287 alpha=103.41 beta=103.41 gamma=90.00
Element x y z (fractional)
Ac 0.395 0.395 0.790
Ac 0.605 0.605 0.210
Cr 0.000 0.000 0.000
Te 0.181 0.181 0.361
Te 0.819 0.819 0.639
O 0.000 0.500 0.000
O 0.500 0.000 0.000